(one)
# Zr5Zn3

Crystalline Zr5Zn3 at its relaxed geometry (PBEsol, Alexandria via LeMat-Bulk).

abc: 3.911 4.296 8.922
angles: 90.00 90.00 90.00
Fractional coordinates of all 8 atoms:
Zn (0.000, 0.000, 0.251)
Zn (0.000, 0.500, 0.500)
Zn (0.000, 0.000, 0.749)
Zr (0.000, 0.500, 0.000)
Zr (0.500, 0.500, 0.262)
Zr (0.500, 0.000, 0.500)
Zr (0.500, 0.500, 0.738)
Zr (0.500, 0.000, 0.000)

## Properties
The crystal system is orthorhombic. The density of states at the Fermi level comes out at 9.350 states/eV/f.u.

---

(two)
# Zr5Zn3

Crystalline Zr5Zn3 at its relaxed geometry (PBEsol, Alexandria via LeMat-Bulk).

abc: 3.260 3.260 14.417
angles: 90.00 90.00 90.00
Fractional coordinates of all 8 atoms:
Zn (0.000, 0.000, 0.883)
Zn (0.000, 0.000, 0.117)
Zn (0.500, 0.500, 0.500)
Zr (0.500, 0.500, 0.000)
Zr (0.500, 0.500, 0.236)
Zr (0.000, 0.000, 0.380)
Zr (0.000, 0.000, 0.620)
Zr (0.500, 0.500, 0.764)

## Properties
The crystal system is tetragonal. The density of states at the Fermi level comes out at 6.666 states/eV/f.u.

---

(three)
# Zr5Zn3

Crystalline Zr5Zn3 at its relaxed geometry (PBEsol, Alexandria via LeMat-Bulk).

abc: 5.221 8.197 8.197
angles: 120.00 90.00 90.00
Fractional coordinates of all 16 atoms:
Zn (0.250, 0.000, 0.398)
Zn (0.750, 0.000, 0.602)
Zn (0.250, 0.602, 0.602)
Zn (0.750, 0.602, 0.000)
Zn (0.750, 0.398, 0.398)
Zn (0.250, 0.398, 0.000)
Zr (0.750, 0.000, 0.238)
Zr (0.250, 0.000, 0.762)
Zr (0.750, 0.762, 0.762)
Zr (0.250, 0.762, 0.000)
Zr (0.000, 0.667, 0.333)
Zr (0.500, 0.667, 0.333)
Zr (0.000, 0.333, 0.667)
Zr (0.500, 0.333, 0.667)
Zr (0.250, 0.238, 0.238)
Zr (0.750, 0.238, 0.000)

## Properties
The crystal system is hexagonal. The density of states at the Fermi level comes out at 8.915 states/eV/f.u.

---

(four)
# Zr5Zn3

Crystalline Zr5Zn3 at its relaxed geometry (PBEsol, Alexandria via LeMat-Bulk).

abc: 5.718 5.589 5.610
angles: 92.64 120.46 96.10
Fractional coordinates of all 8 atoms:
Zn (0.056, 0.948, 0.974)
Zn (0.428, 0.734, 0.994)
Zn (0.104, 0.300, 0.624)
Zr (0.641, 0.564, 0.709)
Zr (0.528, 0.031, 0.518)
Zr (0.971, 0.773, 0.434)
Zr (0.152, 0.429, 0.149)
Zr (0.621, 0.221, 0.099)

## Properties
The crystal system is triclinic. The density of states at the Fermi level comes out at 5.939 states/eV/f.u.

---

(two) wins, 0.026 eV/atom ahead of the next structure.

---

(one)
# Zr5Zn3

Crystalline Zr5Zn3 at its relaxed geometry (PBEsol, Alexandria via LeMat-Bulk).

abc: 4.393 5.881 5.881
angles: 96.77 90.00 90.00
Fractional coordinates of all 8 atoms:
Zn (0.000, 0.500, 0.500)
Zn (0.500, 0.764, 0.236)
Zn (0.500, 0.236, 0.764)
Zr (0.000, 0.000, 0.000)
Zr (0.000, 0.500, 0.000)
Zr (0.000, 0.000, 0.500)
Zr (0.500, 0.732, 0.732)
Zr (0.500, 0.268, 0.268)

## Properties
The crystal system is orthorhombic. The density of states at the Fermi level comes out at 7.210 states/eV/f.u.

---

(two)
# Zr5Zn3

Crystalline Zr5Zn3 at its relaxed geometry (PBEsol, Alexandria via LeMat-Bulk).

abc: 5.185 8.068 8.068
angles: 84.07 71.26 71.26
Each line ends with the local moment (μB).
Fractional coordinates of all 16 atoms:
Zn (0.750, 0.000, 0.000)  0.00
Zn (0.250, 0.000, 0.000)  0.00
Zn (0.164, 0.172, 0.500)  0.00
Zn (0.836, 0.828, 0.500)  0.00
Zn (0.664, 0.500, 0.172)  0.00
Zn (0.336, 0.500, 0.828)  0.00
Zr (0.750, 0.500, 0.500)  0.01
Zr (0.250, 0.500, 0.500)  0.01
Zr (0.080, 0.699, 0.140)  0.06
Zr (0.920, 0.301, 0.860)  0.06
Zr (0.580, 0.140, 0.699)  0.06
Zr (0.420, 0.860, 0.301)  0.06
Zr (0.279, 0.301, 0.140)  0.06
Zr (0.721, 0.699, 0.860)  0.06
Zr (0.221, 0.860, 0.699)  0.06
Zr (0.779, 0.140, 0.301)  0.06

## Properties
The crystal system is tetragonal. The density of states at the Fermi level comes out at 11.202 states/eV/f.u.

---

(two) wins, 0.018 eV/atom ahead of the next structure.

---

(one)
# Zr7Zn

Crystalline Zr7Zn at its relaxed geometry (PBEsol, Alexandria via LeMat-Bulk).

abc: 6.198 6.198 6.198
angles: 60.00 60.00 60.00
Fractional coordinates of all 8 atoms:
Zn (0.000, 0.000, 0.000)
Zr (0.500, 0.500, 0.000)
Zr (0.000, 0.500, 0.000)
Zr (0.000, 0.500, 0.500)
Zr (0.000, 0.000, 0.500)
Zr (0.500, 0.000, 0.500)
Zr (0.500, 0.000, 0.000)
Zr (0.500, 0.500, 0.500)

## Properties
The crystal system is cubic. The density of states at the Fermi level comes out at 13.897 states/eV/f.u.

---

(two)
# Zr7Zn

Crystalline Zr7Zn at its relaxed geometry (PBEsol, Alexandria via LeMat-Bulk).

abc: 4.361 4.361 8.803
angles: 90.00 90.00 90.00
Fractional coordinates of all 8 atoms:
Zn (0.000, 0.000, 0.000)
Zr (0.500, 0.000, 0.241)
Zr (0.000, 0.000, 0.500)
Zr (0.500, 0.000, 0.759)
Zr (0.500, 0.500, 0.000)
Zr (0.000, 0.500, 0.241)
Zr (0.500, 0.500, 0.500)
Zr (0.000, 0.500, 0.759)

## Properties
The crystal system is tetragonal. The density of states at the Fermi level comes out at 9.097 states/eV/f.u.

---

(two) wins, 0.061 eV/atom ahead of the next structure.